Entry 1:
Density functional theory data (PBE-GGA) for an optimized crystal structure of In2GePN.

Cell and atoms, written as POSCAR:
```
In2GePN
1.0
5.4880 0.0000 0.0000
0.0000 3.6240 0.0000
0.0000 0.0000 5.4880
P Ge N In
1 1 1 2
Direct
0.5000 0.5000 0.5000
0.0000 0.0000 0.0000
0.0000 0.5000 0.0000
0.0000 0.0000 0.5000
0.5000 0.0000 0.0000
```

Output
**Energy relative to the elements, uncorrected**: 0.77 eV/atom
**Energy above the most stable polymorph in this dataset**: 344.4 meV/atom



Entry 2:
Density functional theory data (PBE-GGA) for an optimized crystal structure of La2WS.

Cell and atoms, written as POSCAR:
```
La2WS
1.0
7.5782 0.0000 0.0000
0.0000 7.5782 0.0000
3.7891 3.7891 3.9793
S W La
2 2 4
Direct
0.5000 0.5000 0.0000
0.2500 0.7500 0.5000
0.0000 0.0000 0.0000
0.7500 0.2500 0.5000
0.6219 0.1250 0.2500
0.1281 0.6250 0.2500
0.3750 0.3781 0.7500
0.8750 0.8719 0.7500
```

Output
**Energy relative to the elements, uncorrected**: 0.11 eV/atom



Entry 3:
Density functional theory data (PBE-GGA) for an optimized crystal structure of Ta3Pd4Pt2.

Cell and atoms, written as POSCAR:
```
Ta3Pd4Pt2
1.0
4.8110 0.1222 0.4757
0.6680 7.5192 2.6540
0.3445 -0.4114 7.9851
Ta Pd Pt
6 8 4
Direct
0.0832 0.9588 0.7061
0.4168 0.2939 0.0412
0.9168 0.0412 0.2939
0.5832 0.7061 0.9588
0.2500 0.3777 0.6223
0.7500 0.6223 0.3777
0.5269 0.0662 0.8203
0.9731 0.1797 0.9338
0.4731 0.9338 0.1797
0.0269 0.8203 0.0662
0.6300 0.8440 0.5989
0.8700 0.4011 0.1560
0.3700 0.1560 0.4011
0.1300 0.5989 0.8440
0.1878 0.7427 0.4823
0.3122 0.5177 0.2573
0.8122 0.2573 0.5177
0.6878 0.4823 0.7427
```

Output
**Energy relative to the elements**: -0.488 eV/atom



Entry 4:
Density functional theory data (PBE-GGA) for an optimized crystal structure of Sc2TlCu.

Cell and atoms, written as POSCAR:
```
Sc2TlCu
1.0
-1.7005 4.1217 1.9091
-1.9750 -3.4599 -6.5909
-3.2734 -1.2428 -0.2393
Sc Tl Cu
2 1 1
Direct
0.0000 0.0000 0.0000
0.0000 0.5000 0.5000
0.5000 0.5000 0.0000
0.5000 0.0000 0.5000
```

Output
**Energy relative to the elements**: -0.209 eV/atom



Entry 5:
Density functional theory data (PBE-GGA) for an optimized crystal structure of PmY3H8.

Cell and atoms, written as POSCAR:
```
PmY3H8
1.0
4.7773 0.0000 -2.1371
-0.9561 4.6807 -2.1371
0.0177 0.0217 6.4477
Pm Y H
1 3 8
Direct
0.0000 0.0000 0.0000
0.7500 0.2500 0.5000
0.5000 0.5000 0.0000
0.2500 0.7500 0.5000
0.3826 0.3826 0.2556
0.3826 0.8729 0.2556
0.1271 0.6173 0.7444
0.1271 0.1271 0.7444
0.8729 0.8729 0.2556
0.8729 0.3826 0.2556
0.6173 0.1271 0.7444
0.6173 0.6173 0.7444
```



Entry 6:
Density functional theory data (PBE-GGA) for an optimized crystal structure of Ho8TlPd2.

Cell and atoms, written as POSCAR:
```
Ho8TlPd2
1.0
-1.2806 -4.4856 -2.8165
7.9625 -1.0894 0.4539
-4.0362 -1.6303 6.7709
Ho Tl Pd
8 1 2
Direct
0.9189 0.9168 0.6685
0.9189 0.6685 0.9168
0.3075 0.6068 0.6068
0.5000 0.7593 0.2407
0.5000 0.2407 0.7593
0.6925 0.3932 0.3932
0.0811 0.3315 0.0832
0.0811 0.0832 0.3315
0.5000 0.0000 0.0000
0.0000 0.3027 0.6973
0.0000 0.6973 0.3027
```

Output
**Energy relative to the elements**: -0.309 eV/atom



Entry 7:
Density functional theory data (PBE-GGA) for an optimized crystal structure of SiGeTe2I.

Cell and atoms, written as POSCAR:
```
SiGeTe2I
1.0
-1.9658 -4.2715 2.4849
3.2496 -3.1322 -2.8134
3.8098 0.4896 3.8555
I Ge Te Si
1 1 2 1
Direct
0.0000 0.0000 0.5000
0.5000 0.5000 0.5000
0.0000 0.5000 0.0000
0.5000 0.0000 0.0000
0.0000 0.0000 0.0000
```

Output
**Energy relative to the elements, uncorrected**: 0.50 eV/atom
**Energy above the most stable polymorph in this dataset**: 0.0 meV/atom



Entry 8:
Density functional theory data (PBE-GGA) for an optimized crystal structure of CuSb2RuBr.

Cell and atoms, written as POSCAR:
```
CuSb2RuBr
1.0
-4.4113 0.3487 -3.2615
1.7127 -3.2553 -2.6645
-2.5421 -3.8177 3.0301
Sb Cu Br Ru
2 1 1 1
Direct
0.0000 0.0000 0.5000
0.5000 0.0000 0.0000
0.5000 0.5000 0.5000
0.0000 0.0000 0.0000
0.0000 0.5000 0.0000
```

Output
**Energy relative to the elements, uncorrected**: 1.49 eV/atom



Entry 9:
Density functional theory data (PBE-GGA) for an optimized crystal structure of GdIn2Te.

Cell and atoms, written as POSCAR:
```
GdIn2Te
1.0
-1.2640 3.7168 0.0901
-2.6968 1.0934 2.6367
6.2704 4.0208 7.6699
Gd Te In
1 1 2
Direct
0.0000 0.0000 0.0000
0.5000 0.5000 0.5000
0.1012 0.1012 0.6965
0.8988 0.8988 0.3035
```

Output
**Energy relative to the elements, uncorrected**: 0.06 eV/atom



Entry 10:
Density functional theory data (PBE-GGA) for an optimized crystal structure of RbLa3Sn.

Cell and atoms, written as POSCAR:
```
RbLa3Sn
1.0
6.3159 0.0000 0.0000
0.0000 6.3159 0.0000
0.0000 0.0000 6.3159
Sn Rb La
1 1 3
Direct
0.0000 0.0000 0.0000
0.5000 0.5000 0.5000
0.0000 0.5000 0.0000
0.0000 0.0000 0.5000
0.5000 0.0000 0.0000
```

Output
**Energy relative to the elements**: 0.176 eV/atom
**Energy above the most stable polymorph in this dataset**: 0.0 meV/atom



Entry 11:
Density functional theory data (PBE-GGA) for an optimized crystal structure of CsNaMoPt2.

Cell and atoms, written as POSCAR:
```
CsNaMoPt2
1.0
-2.5200 -2.5570 -3.4175
-3.2003 -2.3941 4.1511
-3.2619 3.7134 -0.3732
Cs Na Mo Pt
1 1 1 2
Direct
0.0000 0.5000 0.0000
0.5000 0.5000 0.5000
0.0000 0.0000 0.0000
0.0000 0.0000 0.5000
0.5000 0.0000 0.0000
```

Output
**Energy relative to the elements**: 0.775 eV/atom



Entry 12:
Density functional theory data (PBE-GGA) for an optimized crystal structure of Na2SmInBr6.

Cell and atoms, written as POSCAR:
```
Na2SmInBr6
1.0
-3.1778 -3.1008 6.2157
1.6687 -7.1911 1.9622
4.8185 -1.1421 6.5907
Na Sm In Br
2 1 1 6
Direct
0.5184 0.5183 0.4449
0.0056 0.0056 0.9834
0.3246 0.3245 0.0263
0.8087 0.8089 0.5734
0.5836 0.2431 0.2364
0.2431 0.9368 0.2364
0.9368 0.5837 0.2366
0.3740 0.7220 0.7592
0.7222 0.1446 0.7593
0.1447 0.3741 0.7594
```

Output
**Energy relative to the elements, uncorrected**: -1.50 eV/atom



| no. | volume (Å³/atom) | total DFT energy (no corrections) (eV per atom) |
| --- | --- | --- |
| 1 | 21.83 | -3.9928 |
| 2 | 28.57 | -6.6259 |
| 3 | 16.23 | -8.0888 |
| 4 | 20.64 | -4.9906 |
| 5 | 12.05 | -4.9497 |
| 6 | 27.95 | -4.7980 |
| 7 | 30.79 | -3.0740 |
| 8 | 27.45 | -3.1706 |
| 9 | 34.88 | -5.6149 |
| 10 | 50.39 | -3.7743 |
| 11 | 28.31 | -4.2417 |
| 12 | 35.18 | -3.5171 |